[1]
VASP calculation (PBE) on a geometry-optimized CuBiI4 structure.

SG: No. 12
Energy relative to the elements, uncorrected, eV/atom: -0.2585
Uncorrected energy, eV per atom: -2.62

a b c (Å): 4.2047 8.7759 7.7124
angles (deg): 114.30 90.00 103.86
Closest atoms and distances in Å follow each position.
Sites, in units of the cell vectors:
1 Cu 0.0000 0.0000 0.0000  4 I 2.82
2 Bi 0.5000 0.0000 0.5000  6 I 3.10-3.11
3 I 0.4029 0.8058 0.0573  2 Cu 2.82, 1 Bi 3.10
4 I 0.1281 0.2563 0.4687  2 Bi 3.11, 1 Cu 3.34
5 I 0.5971 0.1942 0.9427  2 Cu 2.82, 1 Bi 3.10
6 I 0.8719 0.7437 0.5313  2 Bi 3.11, 1 Cu 3.34

---

[2]
VASP calculation (PBE) on a geometry-optimized Cu2BiI8 structure.

N(E_F), states/eV per atom: 1.764
SG: No. 164
Energy relative to the elements, uncorrected, eV/atom: -0.0406
Uncorrected energy, eV per atom: -2.27

a b c (Å): 7.8886 8.2167 8.2167
angles (deg): 120.00 90.00 90.00
Closest atoms and distances in Å follow each position.
Sites, in units of the cell vectors:
1 Cu 0.8651 0.6667 0.3333  4 I 2.51-2.58
2 Cu 0.1349 0.3333 0.6667  4 I 2.51-2.58
3 Bi 0.5000 0.0000 0.0000  6 I 3.11
4 I 0.8168 0.3333 0.6667  1 Cu 2.51
5 I 0.1832 0.6667 0.3333  1 Cu 2.51
6 I 0.2309 0.1599 0.3198  1 Cu 2.58
7 I 0.7691 0.8401 0.6802  1 Cu 2.58
8 I 0.7691 0.3198 0.1599  1 Cu 2.58
9 I 0.2309 0.6802 0.8401  1 Cu 2.58
10 I 0.2309 0.1599 0.8401  1 Cu 2.58
11 I 0.7691 0.8401 0.1599  1 Cu 2.58

---

> Which of these has the highest uncorrected energy?

Cu2BiI8